VASP calculation (GGA-PBE) on a relaxed RbBaScHg2 crystal.

Output
V, Å³ per atom: 38.09
Symmetry: P4/mmm, No. 123
Total DFT energy (no corrections), eV per atom: -1.786
ΔH_f (0 K), eV per atom: 0.180

abc: 5.6313 6.0050 5.6313
angles: 90.00 90.00 90.00
Fractional positions:
Hg 0.5000 0.0000 0.0000
Hg 0.0000 0.0000 0.5000
Ba 0.5000 0.5000 0.5000
Sc 0.0000 0.0000 0.0000
Rb 0.0000 0.5000 0.0000